The following is a DFT calculation (GGA-PBE) of an optimized crystal structure of Y2TiBe4Pt3.

Cell: 3.896 3.896 10.329 Å, 90.00 90.00 90.00°
Positions (direct):
Be (0.000, 0.000, 0.000)
Be (0.500, 0.000, 0.653)
Be (0.000, 0.500, 0.347)
Be (0.500, 0.500, 0.000)
Y (0.000, 0.500, 0.758)
Y (0.500, 0.000, 0.242)
Pt (0.000, 0.000, 0.500)
Pt (0.500, 0.000, 0.879)
Pt (0.000, 0.500, 0.121)
Ti (0.500, 0.500, 0.500)

- crystal system = tetragonal
- M_tot (μB per cell) = 0.0
- DFT total energy (eV per atom) = -6.090
- formation energy from the elements (meV/atom) = -705
- symmetry = P-4m2 (115)